## w
VASP calculation (GGA-PBE) on a geometry-optimized LaCl3O structure.

Unit cell a=5.576 b=5.576 c=5.576 alpha=90.00 beta=90.00 gamma=90.00
Each line ends with the local moment (μB).
Fractional positions:
1 Cl 0.000 0.500 0.000  0.01
2 Cl 0.000 0.000 0.500  0.03
3 Cl 0.500 0.000 0.000  0.02
4 O 0.500 0.500 0.500  1.52
5 La 0.000 0.000 0.000  0.00

Output
**Fermi-level density of states**: 26.84 states/eV/cell
**Total moment**: 2.00 μB per cell

=====

## x
VASP calculation (GGA-PBE) on a geometry-optimized LaCl3O structure.

Unit cell a=4.657 b=4.657 c=4.657 alpha=90.00 beta=90.00 gamma=90.00
Fractional positions:
1 Cl 0.000 0.500 0.000
2 Cl 0.000 0.000 0.500
3 Cl 0.500 0.000 0.000
4 O 0.000 0.000 0.000
5 La 0.500 0.500 0.500

Output
**Fermi-level density of states**: 4.08 states/eV/cell
**Total moment**: 0.00 μB per cell

=====

Stability ranking, top entry: w; the second entry is 0.472 eV/atom less favorable.

=====

## w
VASP calculation (GGA-PBE) on a geometry-optimized LaP2ClO structure.

Unit cell a=4.608 b=4.608 c=4.446 alpha=90.00 beta=90.00 gamma=90.00
Each line ends with the local moment (μB).
Fractional positions:
1 P 0.000 0.500 0.000  0.11
2 P 0.500 0.000 0.000  0.11
3 Cl 0.000 0.000 0.000  0.03
4 O 0.000 0.000 0.500  0.12
5 La 0.500 0.500 0.500  0.01

Output
**Fermi-level density of states**: 5.84 states/eV/cell
**Total moment**: 0.65 μB per cell

=====

## x
VASP calculation (GGA-PBE) on a geometry-optimized LaP2ClO structure.

Unit cell a=4.032 b=4.032 c=5.557 alpha=90.00 beta=90.00 gamma=90.00
Fractional positions:
1 P 0.000 0.500 0.000
2 P 0.500 0.000 0.000
3 Cl 0.000 0.000 0.500
4 O 0.000 0.000 0.000
5 La 0.500 0.500 0.500

Output
**Fermi-level density of states**: 2.39 states/eV/cell
**Total moment**: 0.00 μB per cell

=====

## y
VASP calculation (GGA-PBE) on a geometry-optimized LaP2ClO structure.

Unit cell a=5.906 b=5.906 c=5.511 alpha=90.00 beta=90.00 gamma=90.00
Each line ends with the local moment (μB).
Fractional positions:
1 P 0.000 0.500 0.000  0.67
2 P 0.500 0.000 0.000  0.67
3 Cl 0.000 0.000 0.500  0.05
4 O 0.500 0.500 0.500  -1.31
5 La 0.000 0.000 0.000  0.08

Output
**Fermi-level density of states**: 9.45 states/eV/cell
**Total moment**: 1.74 μB per cell

=====

Stability ranking, top entry: x; the second entry is 0.781 eV/atom less favorable.

=====

## w
VASP calculation (GGA-PBE) on a geometry-optimized LaPCl2O structure.

Unit cell a=4.551 b=4.551 c=4.530 alpha=90.00 beta=90.00 gamma=90.00
Fractional positions:
1 P 0.000 0.000 0.500
2 Cl 0.000 0.500 0.000
3 Cl 0.500 0.000 0.000
4 O 0.000 0.000 0.000
5 La 0.500 0.500 0.500

Output
**Fermi-level density of states**: 1.47 states/eV/cell
**Total moment**: 0.00 μB per cell

=====

## x
VASP calculation (GGA-PBE) on a geometry-optimized LaPCl2O structure.

Unit cell a=5.512 b=5.512 c=6.090 alpha=90.00 beta=90.00 gamma=90.00
Each line ends with the local moment (μB).
Fractional positions:
1 P 0.000 0.000 0.500  0.80
2 Cl 0.000 0.500 0.000  0.02
3 Cl 0.500 0.000 0.000  0.02
4 O 0.500 0.500 0.500  -1.28
5 La 0.000 0.000 0.000  0.04

Output
**Fermi-level density of states**: 6.21 states/eV/cell
**Total moment**: 0.40 μB per cell

=====

Stability ranking, top entry: w; the second entry is 0.250 eV/atom less favorable.

=====

## w
VASP calculation (GGA-PBE) on a geometry-optimized LaS2ClO structure.

Unit cell a=5.725 b=5.725 c=5.509 alpha=90.00 beta=90.00 gamma=90.00
Each line ends with the local moment (μB).
Fractional positions:
1 S 0.000 0.500 0.000  0.61
2 S 0.500 0.000 0.000  0.61
3 Cl 0.000 0.000 0.500  0.04
4 O 0.500 0.500 0.500  1.48
5 La 0.000 0.000 0.000  -0.01

Output
**Fermi-level density of states**: 7.38 states/eV/cell
**Total moment**: 4.00 μB per cell

=====

## x
VASP calculation (GGA-PBE) on a geometry-optimized LaS2ClO structure.

Unit cell a=4.154 b=4.154 c=5.276 alpha=90.00 beta=90.00 gamma=90.00
Fractional positions:
1 S 0.000 0.500 0.000
2 S 0.500 0.000 0.000
3 Cl 0.000 0.000 0.500
4 O 0.000 0.000 0.000
5 La 0.500 0.500 0.500

Output
**Fermi-level density of states**: 2.12 states/eV/cell
**Total moment**: 0.02 μB per cell

=====

Stability ranking, top entry: x; the second entry is 0.694 eV/atom less favorable.

=====

## w
VASP calculation (GGA-PBE) on a geometry-optimized La2OsCl structure.

Unit cell a=7.563 b=5.501 c=3.429 alpha=77.54 beta=81.98 gamma=130.08
Fractional positions:
1 Cl 0.500 0.500 0.000
2 Os 0.000 0.500 0.500
3 La 0.000 0.000 0.000
4 La 0.500 0.000 0.500

Output
**Fermi-level density of states**: 3.23 states/eV/cell
**Total moment**: 0.00 μB per cell

=====

## x
VASP calculation (GGA-PBE) on a geometry-optimized La2OsCl structure.

Unit cell a=10.365 b=10.365 c=10.365 alpha=19.92 beta=19.92 gamma=19.92
Each line ends with the local moment (μB).
Fractional positions:
1 Cl 0.741 0.741 0.741  0.00
2 Os 0.512 0.512 0.512  -0.05
3 La 0.008 0.008 0.008  0.08
4 La 0.239 0.239 0.239  0.01

Output
**Fermi-level density of states**: 2.01 states/eV/cell
**Total moment**: 0.12 μB per cell

=====

Stability ranking, top entry: w; the second entry is 0.695 eV/atom less favorable.

=====

## w
VASP calculation (GGA-PBE) on a geometry-optimized La2OsCl structure.

Unit cell a=4.265 b=4.271 c=5.810 alpha=90.00 beta=90.00 gamma=90.00
Fractional positions:
1 Cl 0.500 0.500 0.874
2 Os 0.000 0.000 0.341
3 La 0.000 0.000 0.909
4 La 0.500 0.500 0.376

Output
**Fermi-level density of states**: 2.03 states/eV/cell
**Total moment**: 0.00 μB per cell

=====

## x
VASP calculation (GGA-PBE) on a geometry-optimized La2OsCl structure.

Unit cell a=5.072 b=5.072 c=5.072 alpha=60.00 beta=60.00 gamma=60.00
Fractional positions:
1 Cl 0.500 0.500 0.500
2 Os 0.750 0.750 0.750
3 La 0.000 0.000 0.000
4 La 0.250 0.250 0.250

Output
**Fermi-level density of states**: 3.89 states/eV/cell
**Total moment**: 0.00 μB per cell

=====

Stability ranking, top entry: w; the second entry is 0.947 eV/atom less favorable.